{"formula": "Li3Cr2P3O12", "functional": "GGA+U", "state": "optimized geometry", "lattice": [[7.140, -6.688, 0.000], [7.140, 6.688, 0.000], [-0.850, 0.000, 9.729]], "species": ["Li", "Li", "Li", "Li", "Li", "Li", "Li", "Li", "Li", "Li", "Li", "Li", "Cr", "Cr", "Cr", "Cr", "Cr", "Cr", "Cr", "Cr", "P", "P", "P", "P", "P", "P", "P", "P", "P", "P", "P", "P", "O", "O", "O", "O", "O", "O", "O", "O", "O", "O", "O", "O", "O", "O", "O", "O", "O", "O", "O", "O", "O", "O", "O", "O", "O", "O", "O", "O", "O", "O", "O", "O", "O", "O", "O", "O", "O", "O", "O", "O", "O", "O", "O", "O", "O", "O", "O", "O"], "fractional_positions": [[0.118, 0.118, 0.022], [0.153, 0.551, 0.389], [0.244, 0.277, 0.254], [0.355, 0.331, 0.516], [0.428, 0.058, 0.175], [0.449, 0.847, 0.611], [0.591, 0.037, 0.845], [0.669, 0.645, 0.484], [0.723, 0.756, 0.746], [0.882, 0.882, 0.978], [0.942, 0.572, 0.825], [0.963, 0.409, 0.155], [0.175, 0.038, 0.718], [0.239, 0.538, 0.785], [0.458, 0.542, 0.000], [0.462, 0.761, 0.215], [0.676, 0.324, 0.000], [0.741, 0.259, 0.500], [0.959, 0.041, 0.500], [0.962, 0.825, 0.282], [0.032, 0.740, 0.600], [0.056, 0.340, 0.580], [0.159, 0.622, 0.100], [0.260, 0.968, 0.400], [0.361, 0.240, 0.929], [0.378, 0.841, 0.900], [0.532, 0.445, 0.299], [0.555, 0.468, 0.701], [0.660, 0.944, 0.420], [0.760, 0.639, 0.071], [0.861, 0.117, 0.801], [0.883, 0.139, 0.199], [0.004, 0.215, 0.156], [0.018, 0.097, 0.842], [0.023, 0.705, 0.440], [0.039, 0.903, 0.628], [0.086, 0.177, 0.587], [0.093, 0.764, 0.144], [0.095, 0.411, 0.723], [0.097, 0.961, 0.372], [0.119, 0.593, 0.945], [0.120, 0.508, 0.189], [0.150, 0.380, 0.471], [0.171, 0.673, 0.652], [0.236, 0.907, 0.856], [0.295, 0.977, 0.560], [0.299, 0.192, 0.057], [0.302, 0.176, 0.793], [0.304, 0.091, 0.329], [0.322, 0.628, 0.126], [0.327, 0.829, 0.348], [0.331, 0.402, 0.924], [0.372, 0.678, 0.874], [0.396, 0.471, 0.668], [0.404, 0.382, 0.341], [0.407, 0.881, 0.055], [0.492, 0.880, 0.811], [0.520, 0.203, 0.937], [0.529, 0.604, 0.332], [0.540, 0.414, 0.136], [0.586, 0.460, 0.864], [0.589, 0.905, 0.277], [0.598, 0.669, 0.076], [0.610, 0.331, 0.633], [0.618, 0.596, 0.659], [0.620, 0.850, 0.529], [0.626, 0.098, 0.451], [0.669, 0.390, 0.367], [0.744, 0.193, 0.135], [0.785, 0.996, 0.844], [0.797, 0.480, 0.063], [0.807, 0.256, 0.865], [0.808, 0.701, 0.943], [0.823, 0.914, 0.413], [0.824, 0.698, 0.207], [0.835, 0.124, 0.639], [0.876, 0.165, 0.361], [0.902, 0.374, 0.549], [0.903, 0.982, 0.158], [0.909, 0.696, 0.671]], "sg": "C2", "polymorph_energy_mev_per_atom": 33, "total_magnetization_mub_per_fu": 6.0, "crystal_system": "monoclinic", "dft_energy_ev_per_atom": -7.044, "mass_density_kg_m3": 2929}